Compound: HfCuPS2
Source: Alexandria via LeMat-Bulk
Functional: PBE-GGA
Structure: optimized geometry

Unit cell a=4.886 b=4.886 c=5.045 alpha=90.00 beta=90.00 gamma=90.00
Sites, in units of the cell vectors:
P: 0.000 0.000 0.500
S: 0.000 0.500 0.000
S: 0.500 0.000 0.000
Hf: 0.000 0.000 0.000
Cu: 0.500 0.500 0.500

Output
SG = P4/mmm (123)
Calculated total energy = -5.40 eV/atom
Calculated density = 4.65 g/cm³
Formation energy (no corrections) = 142.9 meV/atom
Density of states at the Fermi level = 1.256 states/eV/atom
M_tot = 0.003 μB per formula unit

=====

Compound: GdYCdCu
Source: Alexandria via LeMat-Bulk
Functional: PBE-GGA
Structure: optimized geometry

Unit cell a=5.159 b=5.159 c=5.159 alpha=60.00 beta=60.00 gamma=60.00
Sites, in units of the cell vectors:
Y: 0.750 0.750 0.750
Gd: 0.250 0.250 0.250
Cu: 0.500 0.500 0.500
Cd: 0.000 0.000 0.000

Output
SG = F-43m (216)
Calculated total energy = -6.62 eV/atom
Calculated density = 7.22 g/cm³
Density of states at the Fermi level = 0.966 states/eV/atom
M_tot = 7.166 μB per formula unit
Energy of formation from the pure elements = -0.23 eV/atom

=====

Compound: CaSc2N2
Source: Alexandria via LeMat-Bulk
Functional: PBE-GGA
Structure: optimized geometry

Unit cell a=4.110 b=4.110 c=5.959 alpha=69.82 beta=69.82 gamma=90.00
Sites, in units of the cell vectors:
Sc: 0.309 0.309 0.383
Sc: 0.691 0.691 0.617
Ca: 0.000 0.000 0.000
N: 0.750 0.250 0.500
N: 0.250 0.750 0.500

Output
SG = I4/mmm (139)
Calculated total energy = -7.40 eV/atom
Calculated density = 2.99 g/cm³
Formation energy (no corrections) = -1133.1 meV/atom
Density of states at the Fermi level = 0.000 states/eV/atom
M_tot = 0.000 μB per formula unit

=====

Compound: NpCdSn2
Source: Alexandria via LeMat-Bulk
Functional: PBE-GGA
Structure: optimized geometry

Unit cell a=3.254 b=3.254 c=11.325 alpha=81.74 beta=81.74 gamma=60.00
Sites, in units of the cell vectors:
Np: 0.500 0.500 0.500
Sn: 0.086 0.086 0.741
Sn: 0.914 0.914 0.259
Cd: 0.000 0.000 0.000

Output
SG = R-3m (166)
Calculated total energy = -5.33 eV/atom
Calculated density = 9.52 g/cm³
Density of states at the Fermi level = 1.638 states/eV/atom
M_tot = 3.896 μB per formula unit
Energy of formation from the pure elements = 0.14 eV/atom